Record 1
{"formula": "ReAgPb2", "functional": "PBE", "state": "optimized geometry", "de_polymorph_ev_per_atom": 0.263, "total_magnetization_mub_per_cell": 0.002, "formation_energy_ev_per_fu": 3.81, "e_tot_ev_per_atom": -4.73, "lattice_angstrom": [[3.293, 0.000, 0.000], [0.000, 5.688, 0.000], [0.000, 0.000, 4.709]], "species": ["Pb", "Pb", "Re", "Ag"], "frac_coords": [[0.000, 0.000, 0.000], [0.500, 0.500, 0.000], [0.500, 0.000, 0.500], [0.000, 0.500, 0.500]]}

---

Record 2
{"formula": "Re2AgPb", "functional": "PBE", "state": "optimized geometry", "total_magnetization_mub_per_cell": 0.000, "formation_energy_ev_per_fu": 4.48, "e_tot_ev_per_atom": -6.74, "lattice_angstrom": [[4.643, 0.000, 0.000], [0.000, 3.930, 0.000], [0.000, 0.000, 3.930]], "species": ["Pb", "Re", "Re", "Ag"], "frac_coords": [[0.500, 0.000, 0.500], [0.000, 0.000, 0.000], [0.000, 0.500, 0.500], [0.500, 0.500, 0.000]]}